i.
LiCrCO4 | PBE+U | relaxed

Values from the calculation:
As for the total magnetization: 0.429 μB per atom.

a b c (Å): 5.399 5.399 5.399
angles (deg): 122.02 115.79 91.98
Positions (direct):
Li1 0.500 0.000 0.000
Li2 0.500 0.500 0.500
Cr1 0.000 0.000 0.000
Cr2 0.500 0.000 0.500
C1 0.111 0.361 0.750
C2 0.889 0.639 0.250
O1 0.183 0.731 0.452
O2 0.221 0.269 0.952
O3 0.242 0.263 0.521
O4 0.242 0.721 0.979
O5 0.758 0.279 0.021
O6 0.758 0.737 0.479
O7 0.779 0.731 0.048
O8 0.817 0.269 0.548

---

ii.
LiCrCO4 | PBE+U | relaxed

Values from the calculation:
As for the total magnetization: 0.428 μB per atom.

a b c (Å): 9.398 3.105 9.336
angles (deg): 90.00 90.00 90.00
Positions (direct):
Li1 0.092 0.250 0.192
Li2 0.408 0.750 0.692
Li3 0.592 0.250 0.308
Li4 0.908 0.750 0.808
Cr1 0.120 0.250 0.560
Cr2 0.380 0.750 0.060
Cr3 0.620 0.250 0.940
Cr4 0.880 0.750 0.440
C1 0.168 0.250 0.868
C2 0.332 0.750 0.368
C3 0.668 0.250 0.632
C4 0.832 0.750 0.132
O1 0.000 0.250 0.387
O2 0.000 0.750 0.613
O3 0.035 0.250 0.873
O4 0.241 0.250 0.749
O5 0.242 0.250 0.992
O6 0.258 0.750 0.492
O7 0.259 0.750 0.249
O8 0.465 0.750 0.373
O9 0.500 0.250 0.113
O10 0.500 0.750 0.887
O11 0.535 0.250 0.627
O12 0.741 0.250 0.751
O13 0.742 0.250 0.508
O14 0.758 0.750 0.008
O15 0.759 0.750 0.251
O16 0.965 0.750 0.127

---

Among the structures shown above, ii is the most stable, with the second-best lying 360 meV/atom higher.